Record 1
This record from Alexandria describes a geometry-optimized Li4Ti3Ni3Sb2O16 structure. The functional is GGA-PBEsol.

Cell: 10.119 5.880 9.636 Å, 90.00 90.33 90.00°
Space group Cm (No. 8)
Asymmetric unit:
Li 0.000 0.000 0.000 (multiplicity 2)
Li 0.012 0.000 0.512 (multiplicity 2)
Li 0.177 0.500 0.912 (multiplicity 2)
Li 0.348 0.000 0.423 (multiplicity 2)
Ti 0.102 0.253 0.232 (multiplicity 4)
Ti 0.188 0.000 0.735 (multiplicity 2)
Ni 0.336 0.500 0.230 (multiplicity 2)
Ni 0.424 0.243 0.730 (multiplicity 4)
Sb 0.184 0.500 0.513 (multiplicity 2)
Sb 0.355 0.000 0.001 (multiplicity 2)
O 0.015 0.000 0.320 (multiplicity 2)
O 0.017 0.000 0.816 (multiplicity 2)
O 0.034 0.500 0.356 (multiplicity 2)
O 0.100 0.248 0.614 (multiplicity 4)
O 0.165 0.500 0.118 (multiplicity 2)
O 0.185 0.000 0.122 (multiplicity 2)
O 0.249 0.272 0.362 (multiplicity 4)
O 0.267 0.221 0.870 (multiplicity 4)
O 0.338 0.000 0.619 (multiplicity 2)
O 0.353 0.500 0.610 (multiplicity 2)
O 0.434 0.251 0.117 (multiplicity 4)
O 0.496 0.000 0.859 (multiplicity 2)

## Properties
Uncorrected energy in eV for the cell shown: -398.22
Formation energy without anion corrections in eV/atom: -1.9536
DOS(E_F) in states/eV/f.u.: 3.1
Calculated volume in Å³ per cell: 573.3

---

Record 2
This record from Alexandria describes a geometry-optimized BaTaRePt2 structure. The functional is GGA-PBEsol.

Cell: 4.826 4.826 5.313 Å, 90.00 90.00 90.00°
Space group P4/mmm (No. 123)
Asymmetric unit:
Ba 0.000 0.000 0.000 (multiplicity 1)
Ta 0.500 0.500 0.000 (multiplicity 1)
Re 0.000 0.000 0.500 (multiplicity 1)
Pt 0.000 0.500 0.500 (multiplicity 2)

## Properties
E_form in eV per atom: 1.7542
Uncorrected energy in eV for the cell shown: -33.19
DOS(E_F) in states/eV/f.u.: 6.5
Calculated volume in Å³ per cell: 123.8

---

Record 3
This record from Alexandria describes a geometry-optimized LaBeCrSi2 structure. The functional is GGA-PBEsol.

Cell: 4.489 4.489 4.986 Å, 90.00 90.00 90.00°
Space group P4/mmm (No. 123)
Asymmetric unit:
La 0.000 0.000 0.000 (multiplicity 1)
Be 0.500 0.500 0.000 (multiplicity 1)
Cr 0.000 0.000 0.500 (multiplicity 1)
Si 0.000 0.500 0.500 (multiplicity 2)

## Properties
Uncorrected energy in eV for the cell shown: -28.90
Formation energy without anion corrections in eV/atom: 0.4360
DOS(E_F) in states/eV/f.u.: 1.9
Calculated volume in Å³ per cell: 100.4